Material: Np4Pd6Rh7
Method: DFT, PBE
State: relaxed

Geometry as CIF:
```
data_Np4Pd6Rh7
_symmetry_space_group_name_H-M 'I m -3 m'
_symmetry_Int_Tables_number 229
_symmetry_space_group_name_Hall '-I 4 2 3'
_cell_length_a 8.406
_cell_length_b 8.406
_cell_length_c 8.406
_cell_angle_alpha 90.00
_cell_angle_beta 90.00
_cell_angle_gamma 90.00
loop_
_atom_site_label
_atom_site_type_symbol
_atom_site_fract_x
_atom_site_fract_y
_atom_site_fract_z
_atom_site_occupancy
Np1 Np 0.250 0.250 0.250 1
Pd1 Pd 0.000 0.000 0.301 1
Rh1 Rh 0.000 0.000 0.000 1
Rh2 Rh 0.000 0.250 0.500 1
```

Values from the calculation:
ΔH_f (0 K)	-256	meV/atom
crystal system	cubic
electronic total energy	-277.45	eV/cell
DOS at the Fermi energy	89.02	states/eV per cell